No. 1
MoAu2 (PBE-GGA, optimized geometry); calculated formation energy = 0.1936 eV/atom; crystal system = tetragonal; electronic total energy = -16.81 eV per cell; ρ = 15.9 g/cm³
1.0
-3.7799 5.2162 1.9764
-6.2175 2.5864 0.2336
4.6963 -4.7873 0.6550
Au Mo
2 1
direct
0.6727 0.6727 0.0000
0.9939 0.9939 0.0000
0.3333 0.3333 0.0000

---

No. 2
VAs (PBE-GGA, optimized geometry); calculated formation energy = -0.1682 eV/atom; crystal system = tetragonal; electronic total energy = -112.84 eV per cell; ρ = 5.0 g/cm³
1.0
-4.9329 -6.3213 -2.5426
5.0535 -5.4999 3.8692
-2.5614 0.4156 3.9362
As V
8 8
direct
0.8018 0.3674 0.5000
0.7259 0.1392 0.0000
0.1982 0.6326 0.5000
0.6326 0.8018 0.5000
0.8608 0.7259 0.0000
0.1392 0.2741 0.0000
0.3674 0.1982 0.5000
0.2741 0.8608 0.0000
0.8883 0.4235 0.0000
0.1117 0.5765 0.0000
0.4235 0.1117 0.0000
0.3616 0.8905 0.5000
0.8905 0.6384 0.5000
0.6384 0.1095 0.5000
0.5765 0.8883 0.0000
0.1095 0.3616 0.5000

---

No. 3
ErZrCo (PBE-GGA, optimized geometry); energy above the lowest structure with this stoichiometry = 79.3 meV/atom; calculated formation energy = -0.0914 eV/atom; crystal system = tetragonal; electronic total energy = -20.49 eV per cell; ρ = 8.6 g/cm³
1.0
-2.8702 1.5262 0.4617
-0.0821 -1.0909 3.0957
4.2480 4.4729 -0.0524
Co Zr Er
1 1 1
direct
0.6795 0.6795 0.3590
0.3011 0.3011 0.6021
0.0194 0.0194 0.0389

---

No. 4
Ac2AsO (PBE-GGA, optimized geometry); energy above the lowest structure with this stoichiometry = 8.0 meV/atom; raw formation energy = -1.93 eV per atom; crystal system = monoclinic; electronic total energy = -102.12 eV per cell; ρ = 7.9 g/cm³
1.0
6.2912 0.0000 0.0000
0.0000 6.2949 0.1146
0.0000 -0.7087 11.5419
Ac O As
8 4 4
direct
0.2209 0.4994 0.3912
0.7791 0.9994 0.8912
0.7680 0.0367 0.3590
0.7680 0.4633 0.1410
0.2209 0.0006 0.1088
0.2320 0.9633 0.6410
0.7791 0.5006 0.6088
0.2320 0.5367 0.8590
0.8344 0.4232 0.3793
0.1656 0.5768 0.6207
0.8344 0.0768 0.1207
0.1656 0.9232 0.8793
0.2657 0.4971 0.1244
0.7343 0.9971 0.6244
0.2657 0.0029 0.3756
0.7343 0.5029 0.8756

---

No. 5
RbYTc2O8 (PBE-GGA, optimized geometry); raw formation energy = -1.92 eV per atom; crystal system = trigonal; electronic total energy = -90.91 eV per cell; ρ = 3.3 g/cm³
1.0
6.0111 0.0000 0.0000
-3.0055 5.2058 0.0000
0.0000 0.0000 7.9958
O Tc Y Rb
8 2 1 1
direct
0.6667 0.3333 0.0320
0.3333 0.6667 0.9680
0.6584 0.8268 0.6736
0.1683 0.3416 0.6736
0.1732 0.8317 0.6736
0.3416 0.1732 0.3264
0.8317 0.6584 0.3264
0.8268 0.1683 0.3264
0.6667 0.3333 0.2505
0.3333 0.6667 0.7495
0.0000 0.0000 0.5000
0.0000 0.0000 0.0000

---

No. 6
Cd2TcP (PBE-GGA, optimized geometry); calculated formation energy = 0.1290 eV/atom; crystal system = orthorhombic; electronic total energy = -17.09 eV per cell; ρ = 7.8 g/cm³
1.0
2.8249 -3.3300 3.7260
-2.8795 -3.2408 3.7626
1.0465 1.2791 -5.4973
Cd Tc P
2 1 1
direct
0.2635 0.7635 0.5000
0.9698 0.9698 0.0000
0.7146 0.2146 0.5000
0.5522 0.5522 0.0000